Record 1
DFT (meta-GGA SCAN) results for a crystal of K3MnSb relaxed with PBEsol.

POSCAR file:
```
K3MnSb
1.0
-3.674 2.593 4.090
-4.214 -4.241 -1.097
2.386 -3.499 4.361
Mn K Sb
1 3 1
Cartesian
0.000 0.000 0.000
1.193 -1.749 2.181
-2.107 -2.121 -0.549
-1.837 1.296 2.045
-2.751 -2.574 3.677
```

E_form (uncorrected) in kcal/mol of atoms: 12.78
Total energy in eV/atom: -15.546
Crystal system: cubic
SG: Pm-3m (221)

Record 2
DFT (meta-GGA SCAN) results for a crystal of Eu2B2O5 relaxed with PBEsol.

POSCAR file:
```
Eu2B2O5
1.0
5.273 0.000 0.000
0.000 7.606 -0.060
0.000 -0.689 11.748
O B Eu
20 8 8
Cartesian
1.489 6.223 9.964
1.148 6.567 4.091
2.103 4.050 7.807
2.041 5.371 5.888
0.534 4.394 1.933
4.402 5.943 10.014
3.707 4.854 0.769
0.596 5.715 0.014
4.740 2.523 9.754
3.509 6.287 4.140
4.126 0.350 7.597
4.203 4.509 6.643
3.784 0.695 1.723
3.171 2.868 3.881
1.566 2.064 10.918
1.765 0.630 7.548
4.678 1.202 11.673
0.872 0.975 1.674
1.071 2.408 5.045
3.232 1.547 5.800
5.059 4.952 0.931
2.987 0.803 6.984
2.287 6.115 4.704
2.422 2.310 4.883
2.852 4.607 6.805
0.350 5.770 10.577
0.215 1.966 10.756
4.924 1.147 1.110
2.819 4.106 10.144
2.454 2.812 1.544
0.432 6.199 7.728
2.205 6.543 1.855
5.091 4.450 4.270
4.841 0.719 3.959
0.183 2.467 7.418
3.069 0.374 9.833
```

E_form (uncorrected) in kcal/mol of atoms: -68.95
Total energy in eV/atom: -20.039
Crystal system: monoclinic
SG: P2_1/c (14)

Record 3
DFT (meta-GGA SCAN) results for a crystal of Li2ZrPb relaxed with PBEsol.

POSCAR file:
```
Li2ZrPb
1.0
3.080 0.000 0.000
0.000 4.152 0.000
0.000 0.000 6.536
Zr Li Pb
1 2 1
Cartesian
1.540 2.076 4.853
1.540 2.076 1.607
0.000 0.000 0.159
0.000 0.000 3.184
```

Total energy in eV/atom: -27.915
Crystal system: orthorhombic
SG: Pmm2 (25)
ΔE_f in eV per atom: -0.10

Record 4
DFT (meta-GGA SCAN) results for a crystal of SiTc2P relaxed with PBEsol.

POSCAR file:
```
SiTc2P
1.0
2.890 0.000 0.000
1.445 2.503 0.000
1.445 0.834 7.479
Tc P Si
2 1 1
Cartesian
1.445 0.834 7.387
1.445 0.834 2.020
2.890 1.668 3.712
4.335 2.503 5.578
```

E_form (uncorrected) in kcal/mol of atoms: -2.45
Total energy in eV/atom: -22.740
Crystal system: trigonal
Excess energy over the best structure of this formula in the dataset in eV/atom: 0.424
SG: R3m (160)

Record 5
DFT (meta-GGA SCAN) results for a crystal of TlP2 relaxed with PBEsol.

POSCAR file:
```
TlP2
1.0
-0.053 -3.042 1.208
4.989 -0.567 3.226
-2.184 0.978 6.799
P Tl
4 2
Cartesian
0.307 0.119 4.748
-0.479 -0.920 6.531
2.445 -2.751 6.486
3.231 -1.711 4.703
1.933 -0.211 8.423
0.819 -2.421 2.811
```

Total energy in eV/atom: -31.007
Crystal system: monoclinic
Excess energy over the best structure of this formula in the dataset in eV/atom: 0.000
SG: C2/m (12)
ΔE_f in eV per atom: 0.04

Record 6
DFT (meta-GGA SCAN) results for a crystal of Zr2TlAu relaxed with PBEsol.

POSCAR file:
```
Zr2TlAu
1.0
3.145 0.000 0.000
0.000 5.196 0.007
0.000 -1.597 4.944
Zr Tl Au
2 1 1
Cartesian
0.000 -0.799 2.472
0.000 2.598 0.003
1.573 1.799 2.476
1.573 0.000 0.000
```

Total energy in eV/atom: -51.182
Crystal system: orthorhombic
SG: Cmmm (65)
ΔE_f in eV per atom: -0.45

Q: The highest total energy belongs to which entry?
A: K3MnSb

Q: Which value of total energy does entry 2 give?
A: -20.039 eV/atom